The following is a DFT calculation (GGA-PBE) of a relaxed K2Tl2O crystal.

Raw formation energy in eV/f.u.: -0.94
Crystal system: tetragonal
Space group: I4/mmm (139)

a b c (Å): 10.7707 10.7707 10.7707
angles (deg): 157.81 157.81 31.58
With the nearest neighbours (Å) after each atom.
Atoms (fractional coordinates):
K 0.0708 0.0708 0.0000  1 K 2.94, 4 O 3.28
K 0.9292 0.9292 0.0000  1 K 2.94, 4 O 3.28
Tl 0.2500 0.7500 0.5000  4 Tl 2.93
Tl 0.7500 0.2500 0.5000  4 Tl 2.93
O 0.5000 0.5000 0.0000  8 K 3.28

***

The following is a DFT calculation (GGA-PBE) of a relaxed K5Tl3O crystal.

Raw formation energy in eV/f.u.: -3.89
Crystal system: orthorhombic
Space group: Cmcm (63)

a b c (Å): 17.5185 17.5185 8.9240
angles (deg): 90.00 90.00 151.89
With the nearest neighbours (Å) after each atom.
Atoms (fractional coordinates):
K 0.0147 0.5466 0.2500  1 O 2.68
K 0.0495 0.9505 0.5328  2 O 2.76-2.89
K 0.0495 0.9505 0.9672  2 O 2.76-2.89
K 0.1230 0.3838 0.7500  1 O 2.68
K 0.1787 0.8213 0.5341  1 O 2.54
K 0.1787 0.8213 0.9659  1 O 2.54
K 0.2896 0.3032 0.7500  1 O 2.52
K 0.3032 0.2896 0.2500  1 O 2.52
K 0.3838 0.1230 0.2500  1 O 2.68
K 0.4534 0.9853 0.2500  1 O 2.68
K 0.5466 0.0147 0.7500  1 O 2.68
K 0.6162 0.8770 0.7500  1 O 2.68
K 0.6968 0.7104 0.7500  1 O 2.52
K 0.7104 0.6968 0.2500  1 O 2.52
K 0.8213 0.1787 0.0341  1 O 2.54
K 0.8213 0.1787 0.4659  1 O 2.54
K 0.8770 0.6162 0.2500  1 O 2.68
K 0.9505 0.0495 0.0328  2 O 2.76-2.89
K 0.9505 0.0495 0.4672  2 O 2.76-2.89
K 0.9853 0.4534 0.7500  1 O 2.68
Tl 0.1642 0.4127 0.2500  4 Tl 3.11-3.20
Tl 0.3166 0.6834 0.0565  3 Tl 3.20-3.45
Tl 0.3166 0.6834 0.4435  3 Tl 3.20-3.45
Tl 0.4127 0.1642 0.7500  4 Tl 3.11-3.20
Tl 0.4240 0.5760 0.0339  2 Tl 3.11
Tl 0.4240 0.5760 0.4661  2 Tl 3.11
Tl 0.5760 0.4240 0.5339  2 Tl 3.11
Tl 0.5760 0.4240 0.9661  2 Tl 3.11
Tl 0.5873 0.8358 0.2500  4 Tl 3.11-3.20
Tl 0.6834 0.3166 0.5565  3 Tl 3.20-3.45
Tl 0.6834 0.3166 0.9435  3 Tl 3.20-3.45
Tl 0.8358 0.5873 0.7500  4 Tl 3.11-3.20
O 0.0083 0.9917 0.2500  4 K 2.52-2.76
O 0.1773 0.8227 0.2500  6 K 2.54-2.68
O 0.8227 0.1773 0.7500  6 K 2.54-2.68
O 0.9917 0.0083 0.7500  4 K 2.52-2.76

***

Question: Among the records above, which one has the lowest raw formation energy?
Answer: K5Tl3O